Record 1
An optimized crystal structure of Ce2AgF8. Source: Alexandria, functional PBE.

Cell and atoms, written as extended XYZ:
```
11
Lattice="7.568 -1.915 0.000 7.568 1.915 0.000 -1.848 0.000 5.480" Properties=species:S:1:pos:R:3 pbc="T T T"
Ce 2.271 0.000 1.021
Ce 11.017 0.000 4.459
Ag 6.644 0.000 2.740
F 0.164 0.000 1.620
F 1.714 0.000 4.582
F 3.745 0.000 2.916
F 5.991 0.000 0.102
F 7.297 0.000 5.378
F 9.543 0.000 2.564
F 11.574 0.000 0.898
F 13.124 0.000 3.861
```

## Properties
Total DFT energy (no corrections) in eV for the cell shown: -66.77
Symmetry: C2/m, No. 12
Total magnetization in μB/f.u.: 1.04
Formation energy without anion corrections in eV per atom: -3.37

---

Record 2
An optimized crystal structure of YCo2Br. Source: Alexandria, functional PBE.

Cell and atoms, written as extended XYZ:
```
4
Lattice="0.000 3.323 3.323 3.323 0.000 3.323 3.323 3.323 0.000" Properties=species:S:1:pos:R:3 pbc="T T T"
Y 0.000 0.000 0.000
Co 3.323 3.323 3.323
Co 4.984 4.984 4.984
Br 1.661 1.661 1.661
```

## Properties
Total DFT energy (no corrections) in eV for the cell shown: -20.81
Symmetry: F-43m, No. 216
Total magnetization in μB/f.u.: 3.11
Formation energy without anion corrections in eV per atom: 0.39